Entry 1:
A plane-wave DFT calculation with PBE was carried out for a relaxed ZnInFe2Br crystal.

Unit cell a=4.4281 b=6.0143 c=4.4281 alpha=90.00 beta=90.00 gamma=90.00
With the nearest neighbours (Å) after each atom.
Fractional positions:
Br  0.0000  0.0000  0.0000  4 Fe 2.21
Zn  0.5000  0.5000  0.5000  4 In 3.13
Fe  0.5000  0.0000  0.0000  2 Br 2.21
In  0.0000  0.5000  0.0000  2 Br 3.01, 4 Zn 3.13
Fe  0.0000  0.0000  0.5000  2 Br 2.21

## Properties
* symmetry: P4/mmm, No. 123


Entry 2:
A plane-wave DFT calculation with PBE was carried out for a relaxed Fe2IrBr crystal.

Unit cell a=2.8026 b=2.8026 c=9.3855 alpha=90.00 beta=90.00 gamma=117.14
With the nearest neighbours (Å) after each atom.
Fractional positions:
Ir  0.0000  0.0000  0.4457  2 Fe 2.49
Fe  0.0000  0.0000  0.0232  2 Fe 2.44, 2 Br 2.55
Fe  0.5000  0.5000  0.2311  2 Fe 2.44, 2 Ir 2.49
Br  0.5000  0.5000  0.8000  2 Fe 2.55, 4 Br 2.80

## Properties
* symmetry: Cmm2, No. 35
* energy above the most stable polymorph in this dataset: 236 meV per atom


Entry 3:
A plane-wave DFT calculation with PBE was carried out for a relaxed FeIr2Br crystal.

Unit cell a=2.8177 b=3.7708 c=7.4021 alpha=90.00 beta=90.00 gamma=90.00
With the nearest neighbours (Å) after each atom.
Fractional positions:
Ir  0.5000  0.5000  0.1375  1 Fe 2.54, 6 Ir 2.54-2.82
Fe  0.5000  0.5000  0.7941  5 Ir 2.54-2.83, 2 Fe 2.82
Ir  0.0000  0.0000  0.0071  6 Ir 2.54-2.82, 4 Fe 2.83
Br  0.0000  0.0000  0.5612  2 Br 2.82, 4 Fe 2.92

## Properties
* symmetry: Pmm2, No. 25
* energy above the most stable polymorph in this dataset: 118 meV per atom


Entry 4:
A plane-wave DFT calculation with PBE was carried out for a relaxed Fe2IrBr crystal.

Unit cell a=4.4096 b=4.4096 c=4.4096 alpha=60.00 beta=60.00 gamma=60.00
With the nearest neighbours (Å) after each atom.
Fractional positions:
Fe  0.0000  0.0000  0.0000  4 Ir 2.70, 4 Fe 2.70
Ir  0.7500  0.7500  0.7500  4 Fe 2.70, 4 Br 2.70
Fe  0.2500  0.2500  0.2500  4 Br 2.70, 4 Fe 2.70
Br  0.5000  0.5000  0.5000  4 Ir 2.70, 4 Fe 2.70

## Properties
* symmetry: F-43m, No. 216
* energy above the most stable polymorph in this dataset: 532 meV per atom


Entry 5:
A plane-wave DFT calculation with PBE was carried out for a relaxed FeIr2Br crystal.

Unit cell a=2.8020 b=2.8020 c=9.8765 alpha=90.00 beta=90.00 gamma=120.31
With the nearest neighbours (Å) after each atom.
Fractional positions:
Fe  0.5000  0.5000  0.7650  2 Ir 2.54, 2 Br 2.58, 6 Fe 2.79-2.80
Ir  0.0000  0.0000  0.9795  2 Fe 2.54, 8 Ir 2.67-2.80
Ir  0.5000  0.5000  0.2102  8 Ir 2.67-2.80
Br  0.0000  0.0000  0.5453  2 Fe 2.58, 6 Br 2.79-2.80

## Properties
* symmetry: Cmm2, No. 35
* energy above the most stable polymorph in this dataset: 194 meV per atom


Entry 6:
A plane-wave DFT calculation with PBE was carried out for a relaxed FeIr4Br crystal.

Unit cell a=5.2469 b=5.2469 c=5.2469 alpha=60.00 beta=60.00 gamma=60.00
With the nearest neighbours (Å) after each atom.
Fractional positions:
Br  0.7500  0.7500  0.7500  12 Ir 3.08, 4 Fe 3.21
Ir  0.3743  0.8770  0.3743  6 Ir 2.61-2.64
Ir  0.8770  0.3743  0.3743  6 Ir 2.61-2.64
Ir  0.3743  0.3743  0.8770  6 Ir 2.61-2.64
Ir  0.3743  0.3743  0.3743  6 Ir 2.61-2.64
Fe  0.0000  0.0000  0.0000  12 Ir 3.07, 4 Br 3.21

## Properties
* symmetry: F-43m, No. 216


Entry 7:
A plane-wave DFT calculation with PBE was carried out for a relaxed FeIr3Br crystal.

Unit cell a=4.5779 b=4.5779 c=4.5779 alpha=90.00 beta=90.00 gamma=90.00
With the nearest neighbours (Å) after each atom.
Fractional positions:
Br  0.0000  0.0000  0.0000  6 Ir 2.29
Ir  0.0000  0.0000  0.5000  2 Br 2.29
Ir  0.0000  0.5000  0.0000  2 Br 2.29
Fe  0.5000  0.5000  0.5000  12 Ir 3.24
Ir  0.5000  0.0000  0.0000  2 Br 2.29

## Properties
* symmetry: Pm-3m, No. 221
* energy above the most stable polymorph in this dataset: 586 meV per atom


Entry 8:
A plane-wave DFT calculation with PBE was carried out for a relaxed FeIr2Br crystal.

Unit cell a=9.5263 b=9.5263 c=9.5263 alpha=17.13 beta=17.13 gamma=17.13
With the nearest neighbours (Å) after each atom.
Fractional positions:
Ir  0.2641  0.2641  0.2641  9 Ir 2.72-2.84
Ir  0.0077  0.0077  0.0077  3 Fe 2.60, 9 Ir 2.72-2.84
Br  0.4820  0.4820  0.4820  3 Fe 2.55, 6 Br 2.84
Fe  0.7462  0.7462  0.7462  3 Br 2.55, 3 Ir 2.60, 6 Fe 2.84

## Properties
* symmetry: R3m, No. 160
* energy above the most stable polymorph in this dataset: 53 meV per atom


Entry 9:
A plane-wave DFT calculation with PBE was carried out for a relaxed FeIr2Br crystal.

Unit cell a=3.0255 b=3.0255 c=7.0524 alpha=90.00 beta=90.00 gamma=90.00
With the nearest neighbours (Å) after each atom.
Fractional positions:
Br  0.5000  0.5000  0.2500  8 Ir 3.00, 4 Br 3.03
Fe  0.5000  0.5000  0.7500  8 Ir 2.57
Ir  0.0000  0.0000  0.5486  4 Fe 2.57, 1 Ir 2.84
Ir  0.0000  0.0000  0.9514  4 Fe 2.57, 1 Ir 2.84

## Properties
* symmetry: P4/mmm, No. 123
* energy above the most stable polymorph in this dataset: 140 meV per atom


Entry 10:
A plane-wave DFT calculation with PBE was carried out for a relaxed FeIr2Br crystal.

Unit cell a=11.5190 b=11.5190 c=11.5190 alpha=13.68 beta=13.68 gamma=13.68
With the nearest neighbours (Å) after each atom.
Fractional positions:
Br  0.2500  0.2500  0.2500  6 Br 2.74
Ir  0.0237  0.0237  0.0237  3 Fe 2.58, 6 Ir 2.74
Fe  0.7500  0.7500  0.7500  6 Ir 2.58, 6 Fe 2.74
Ir  0.4763  0.4763  0.4763  3 Fe 2.58, 6 Ir 2.74

## Properties
* symmetry: R-3m, No. 166
* energy above the most stable polymorph in this dataset: 55 meV per atom


Entry 11:
A plane-wave DFT calculation with PBE was carried out for a relaxed FeIr2Br crystal.

Unit cell a=4.6941 b=4.6941 c=2.8910 alpha=90.00 beta=90.00 gamma=103.63
With the nearest neighbours (Å) after each atom.
Fractional positions:
Br  0.5000  0.0000  0.5000  8 Ir 2.76, 2 Br 2.89, 2 Fe 2.90
Ir  0.5000  0.5000  0.0000  4 Br 2.76, 4 Fe 2.76, 4 Ir 2.89-2.90
Ir  0.0000  0.0000  0.0000  4 Fe 2.76, 4 Br 2.76, 4 Ir 2.89-2.90
Fe  0.0000  0.5000  0.5000  8 Ir 2.76, 2 Fe 2.89, 2 Br 2.90

## Properties
* symmetry: Cmmm, No. 65
* energy above the most stable polymorph in this dataset: 424 meV per atom


Entry 12:
A plane-wave DFT calculation with PBE was carried out for a relaxed FeIr2Br crystal.

Unit cell a=4.3860 b=4.3860 c=4.3860 alpha=60.00 beta=60.00 gamma=60.00
With the nearest neighbours (Å) after each atom.
Fractional positions:
Br  0.5000  0.5000  0.5000  8 Ir 2.69
Ir  0.7500  0.7500  0.7500  4 Br 2.69, 4 Fe 2.69
Fe  0.0000  0.0000  0.0000  8 Ir 2.69
Ir  0.2500  0.2500  0.2500  4 Br 2.69, 4 Fe 2.69

## Properties
* symmetry: Fm-3m, No. 225
* energy above the most stable polymorph in this dataset: 756 meV per atom


Entry 13:
A plane-wave DFT calculation with PBE was carried out for a relaxed Fe2IrBr crystal.

Unit cell a=3.0066 b=4.4982 c=4.4200 alpha=90.00 beta=90.00 gamma=90.00
With the nearest neighbours (Å) after each atom.
Fractional positions:
Br  0.0000  0.5000  0.5000  4 Fe 2.67, 4 Ir 2.71
Fe  0.0000  0.0000  0.0000  4 Ir 2.67, 4 Fe 2.71
Fe  0.5000  0.5000  0.0000  4 Br 2.67, 4 Fe 2.71
Ir  0.5000  0.0000  0.5000  4 Fe 2.67, 4 Br 2.71

## Properties
* symmetry: Pmmm, No. 47
* energy above the most stable polymorph in this dataset: 427 meV per atom


Entry 14:
A plane-wave DFT calculation with PBE was carried out for a relaxed Fe2IrBr crystal.

Unit cell a=3.0125 b=3.4258 c=6.8738 alpha=90.01 beta=90.00 gamma=90.00
With the nearest neighbours (Å) after each atom.
Fractional positions:
Fe  0.0000  0.7501  0.0657  1 Fe 2.53, 4 Ir 2.61, 2 Br 2.64
Br  0.5000  0.7500  0.7500  4 Fe 2.64
Ir  0.5000  0.2500  0.2500  8 Fe 2.61
Fe  0.0000  0.7499  0.4343  1 Fe 2.53, 4 Ir 2.61, 2 Br 2.64

## Properties
* symmetry: Pmmm, No. 47
* energy above the most stable polymorph in this dataset: 0 meV per atom


Entry 15:
A plane-wave DFT calculation with PBE was carried out for a relaxed Fe3IrBr crystal.

Unit cell a=4.7582 b=4.7582 c=4.7582 alpha=90.00 beta=90.00 gamma=90.00
With the nearest neighbours (Å) after each atom.
Fractional positions:
Ir  0.0000  0.0000  0.0000  6 Fe 2.38
Fe  0.5000  0.0000  0.0000  2 Ir 2.38
Fe  0.0000  0.5000  0.0000  2 Ir 2.38
Fe  0.0000  0.0000  0.5000  2 Ir 2.38
Br  0.5000  0.5000  0.5000  12 Fe 3.36

## Properties
* symmetry: Pm-3m, No. 221
* energy above the most stable polymorph in this dataset: 0 meV per atom


Entry 16:
A plane-wave DFT calculation with PBE was carried out for a relaxed FeIr2Br crystal.

Unit cell a=4.7017 b=4.7017 c=4.7017 alpha=128.66 beta=128.66 gamma=75.55
With the nearest neighbours (Å) after each atom.
Fractional positions:
Fe  0.7500  0.2500  0.5000  8 Ir 2.76, 4 Br 2.88
Br  0.2500  0.7500  0.5000  8 Ir 2.76, 4 Fe 2.88
Ir  0.0000  0.0000  0.0000  4 Fe 2.76, 4 Br 2.76, 4 Ir 2.88
Ir  0.5000  0.5000  0.0000  4 Br 2.76, 4 Fe 2.76, 4 Ir 2.88

## Properties
* symmetry: I4/mmm, No. 139
* energy above the most stable polymorph in this dataset: 463 meV per atom


Entry 17:
A plane-wave DFT calculation with PBE was carried out for a relaxed Fe2IrBr crystal.

Unit cell a=5.2954 b=5.2954 c=5.2954 alpha=147.88 beta=129.18 gamma=61.40
With the nearest neighbours (Å) after each atom.
Fractional positions:
Ir  0.5073  0.5073  0.0000  6 Fe 2.66-2.71, 2 Br 2.79, 2 Ir 2.93
Fe  0.7510  0.2510  0.5000  4 Fe 2.66-2.93, 2 Ir 2.66, 4 Br 2.70
Br  0.2469  0.7469  0.5000  6 Fe 2.70-2.72, 2 Ir 2.79, 2 Br 2.93
Fe  0.9947  0.9947  0.0000  4 Fe 2.66-2.93, 4 Ir 2.71, 2 Br 2.72

## Properties
* symmetry: Imm2, No. 44
* energy above the most stable polymorph in this dataset: 355 meV per atom


Entry 18:
A plane-wave DFT calculation with PBE was carried out for a relaxed FeIr3Br crystal.

Unit cell a=4.5323 b=4.5323 c=4.5323 alpha=90.00 beta=90.00 gamma=90.00
With the nearest neighbours (Å) after each atom.
Fractional positions:
Fe  0.0000  0.0000  0.0000  6 Ir 2.27
Ir  0.0000  0.5000  0.0000  2 Fe 2.27
Br  0.5000  0.5000  0.5000  12 Ir 3.20
Ir  0.5000  0.0000  0.0000  2 Fe 2.27
Ir  0.0000  0.0000  0.5000  2 Fe 2.27

## Properties
* symmetry: Pm-3m, No. 221
* energy above the most stable polymorph in this dataset: 0 meV per atom


Entry 19:
A plane-wave DFT calculation with PBE was carried out for a relaxed FeIr2Br crystal.

Unit cell a=6.1004 b=6.1004 c=6.0583 alpha=59.77 beta=59.77 gamma=90.00
With the nearest neighbours (Å) after each atom.
Fractional positions:
Br  0.0000  0.0000  0.0000  4 Ir 2.57
Br  0.7500  0.2500  0.5000  4 Ir 2.57
Ir  0.5838  0.1250  0.2500  2 Fe 2.25
Ir  0.8750  0.8338  0.7500  2 Fe 2.25
Ir  0.3750  0.4162  0.7500  2 Fe 2.25
Ir  0.1662  0.6250  0.2500  2 Fe 2.25
Fe  0.5000  0.5000  0.0000  4 Ir 2.25
Fe  0.2500  0.7500  0.5000  4 Ir 2.25

## Properties
* symmetry: I-42d, No. 122
* energy above the most stable polymorph in this dataset: 654 meV per atom


Entry 20:
A plane-wave DFT calculation with PBE was carried out for a relaxed FeIr2Br crystal.

Unit cell a=4.6147 b=2.9306 c=4.6750 alpha=90.69 beta=90.00 gamma=90.00
With the nearest neighbours (Å) after each atom.
Fractional positions:
Ir  0.0000  0.9923  0.9908  6 Ir 2.65-2.93, 2 Fe 2.66, 2 Br 2.71
Ir  0.0000  0.5077  0.5092  6 Ir 2.65-2.93, 2 Fe 2.66, 2 Br 2.71
Fe  0.5000  0.7500  0.7500  4 Ir 2.66, 4 Br 2.74-2.77, 2 Fe 2.93
Br  0.5000  0.2500  0.2500  4 Ir 2.71, 4 Fe 2.74-2.77, 2 Br 2.93

## Properties
* symmetry: P2/m, No. 10
* energy above the most stable polymorph in this dataset: 245 meV per atom


Table of uncorrected formation energy (meV per atom), in record order: 1045, 570, 616, 866, 692, 1018, 2335, 552, 639, 553, 922, 1254, 760, 334, 1110, 961, 689, 1749, 1152, 743
Table of D(E_F) (states/eV/f.u.), in record order: 4.2, 3.8, 4.7, 5.0, 5.5, 12.1, 13.6, 4.7, 4.9, 7.2, 4.3, 10.2, 3.2, 4.2, 7.8, 5.0, 4.4, 12.9, 2.3, 4.2